1.
# SnTe2Pd8 | the Alexandria database | GGA-PBE | optimized geometry
data_SnTe2Pd8
_chemical_formula_sum 'Sn2 Te4 Pd16'
_symmetry_space_group_name_H-M 'C 1 m 1'
_symmetry_Int_Tables_number 8
_cell_length_a 7.697
_cell_length_b 13.053
_cell_length_c 4.579
_cell_angle_alpha 90.00
_cell_angle_beta 122.41
_cell_angle_gamma 90.00
loop_
_symmetry_equiv_pos_as_xyz
'x,y,z'
'x,-y,z'
'x+1/2,y+1/2,z'
'x+1/2,-y+1/2,z'
loop_
_atom_site_label
_atom_site_type_symbol
_atom_site_fract_x
_atom_site_fract_y
_atom_site_fract_z
Sn1 Sn 0.000 0.000 0.000
Te1 Te 0.458 0.160 0.936
Pd1 Pd 0.041 0.119 0.533
Pd2 Pd 0.187 0.500 0.264
Pd3 Pd 0.234 0.340 0.728
Pd4 Pd 0.257 0.202 0.242
Pd5 Pd 0.401 0.000 0.509
# * volume: 17.7 Å³/atom
# * offset from the most stable computed form: 0.45 kcal/mol of atoms
# * density of states at the Fermi level: 5.31 states/eV/f.u.
# * formation energy from raw total energies: -0.340 eV/atom

---

2.
# SnTe2Pd6 | the Alexandria database | GGA-PBE | optimized geometry
data_SnTe2Pd6
_chemical_formula_sum 'Sn1 Te2 Pd6'
_symmetry_space_group_name_H-M 'P -6 2 m'
_symmetry_Int_Tables_number 189
_symmetry_space_group_name_Hall 'P -6 -2'
_cell_length_a 7.4742
_cell_length_b 7.4742
_cell_length_c 3.3884
_cell_angle_alpha 90.00
_cell_angle_beta 90.00
_cell_angle_gamma 120.00
loop_
_atom_site_label
_atom_site_type_symbol
_atom_site_fract_x
_atom_site_fract_y
_atom_site_fract_z
Sn1 Sn 0.0000 0.0000 0.0000
Te1 Te 0.3333 0.6667 0.5000
Pd1 Pd 0.0000 0.2870 0.5000
Pd2 Pd 0.0000 0.6281 0.0000
# * volume: 18.2 Å³/atom
# * offset from the most stable computed form: 1.84 kcal/mol of atoms
# * density of states at the Fermi level: 3.29 states/eV/f.u.
# * formation energy from raw total energies: -0.343 eV/atom

---

3.
# Sn2TePd9 | the Alexandria database | GGA-PBE | optimized geometry
data_Sn2TePd9
_chemical_formula_sum 'Sn2 Te1 Pd9'
_symmetry_space_group_name_H-M 'P 4/m m m'
_symmetry_Int_Tables_number 123
_symmetry_space_group_name_Hall '-P 4 2'
_cell_length_a 4.064
_cell_length_b 4.064
_cell_length_c 12.131
_cell_angle_alpha 90.00
_cell_angle_beta 90.00
_cell_angle_gamma 90.00
loop_
_atom_site_label
_atom_site_type_symbol
_atom_site_fract_x
_atom_site_fract_y
_atom_site_fract_z
Sn1 Sn 0.000 0.000 0.165
Te1 Te 0.000 0.000 0.500
Pd1 Pd 0.000 0.500 0.000
Pd2 Pd 0.000 0.500 0.329
Pd3 Pd 0.500 0.500 0.166
Pd4 Pd 0.500 0.500 0.500
# * volume: 16.7 Å³/atom
# * density of states at the Fermi level: 5.37 states/eV/f.u.
# * formation energy from raw total energies: -0.392 eV/atom

---

4.
# SnTe2Pd6 | the Alexandria database | GGA-PBE | optimized geometry
data_SnTe2Pd6
_chemical_formula_sum 'Sn2 Te4 Pd12'
_symmetry_space_group_name_H-M 'P 1 21/c 1'
_symmetry_Int_Tables_number 14
_cell_length_a 6.929
_cell_length_b 6.295
_cell_length_c 9.559
_cell_angle_alpha 90.00
_cell_angle_beta 124.27
_cell_angle_gamma 90.00
loop_
_symmetry_equiv_pos_as_xyz
'x,y,z'
'-x,-y,-z'
'-x,y+1/2,-z+1/2'
'x,-y+1/2,z+1/2'
loop_
_atom_site_label
_atom_site_type_symbol
_atom_site_fract_x
_atom_site_fract_y
_atom_site_fract_z
Sn1 Sn 0.000 0.000 0.000
Te1 Te 0.336 0.123 0.788
Pd1 Pd 0.010 0.170 0.292
Pd2 Pd 0.243 0.655 0.042
Pd3 Pd 0.498 0.227 0.601
# * volume: 19.1 Å³/atom
# * offset from the most stable computed form: 3.30 kcal/mol of atoms
# * density of states at the Fermi level: 3.81 states/eV/f.u.
# * formation energy from raw total energies: -0.279 eV/atom

---

5.
# Sn2Te4Pd | the Alexandria database | GGA-PBE | optimized geometry
data_Sn2Te4Pd
_chemical_formula_sum 'Sn4 Te8 Pd2'
_symmetry_space_group_name_H-M 'I 4/m m m'
_symmetry_Int_Tables_number 139
_symmetry_space_group_name_Hall '-I 4 2'
_cell_length_a 5.417
_cell_length_b 5.417
_cell_length_c 14.981
_cell_angle_alpha 90.00
_cell_angle_beta 90.00
_cell_angle_gamma 90.00
loop_
_atom_site_label
_atom_site_type_symbol
_atom_site_fract_x
_atom_site_fract_y
_atom_site_fract_z
Sn1 Sn 0.000 0.000 0.121
Te1 Te 0.000 0.000 0.319
Te2 Te 0.000 0.500 0.000
Pd1 Pd 0.000 0.000 0.500
# * volume: 31.4 Å³/atom
# * density of states at the Fermi level: 4.79 states/eV/f.u.
# * formation energy from raw total energies: 0.010 eV/atom

---

6.
# SnTe2Pd9 | the Alexandria database | GGA-PBE | optimized geometry
data_SnTe2Pd9
_chemical_formula_sum 'Sn1 Te2 Pd9'
_symmetry_space_group_name_H-M 'P 4/m m m'
_symmetry_Int_Tables_number 123
_symmetry_space_group_name_Hall '-P 4 2'
_cell_length_a 4.067
_cell_length_b 4.067
_cell_length_c 12.295
_cell_angle_alpha 90.00
_cell_angle_beta 90.00
_cell_angle_gamma 90.00
loop_
_atom_site_label
_atom_site_type_symbol
_atom_site_fract_x
_atom_site_fract_y
_atom_site_fract_z
Sn1 Sn 0.000 0.000 0.000
Te1 Te 0.000 0.000 0.334
Pd1 Pd 0.000 0.500 0.161
Pd2 Pd 0.000 0.500 0.500
Pd3 Pd 0.500 0.500 0.000
Pd4 Pd 0.500 0.500 0.329
# * volume: 16.9 Å³/atom
# * density of states at the Fermi level: 11.32 states/eV/f.u.
# * formation energy from raw total energies: -0.274 eV/atom

---

7.
# SnTePd3 | the Alexandria database | GGA-PBE | optimized geometry
data_SnTePd3
_chemical_formula_sum 'Sn1 Te1 Pd3'
_symmetry_space_group_name_H-M 'P m -3 m'
_symmetry_Int_Tables_number 221
_symmetry_space_group_name_Hall '-P 4 2 3'
_cell_length_a 4.981
_cell_length_b 4.981
_cell_length_c 4.981
_cell_angle_alpha 90.00
_cell_angle_beta 90.00
_cell_angle_gamma 90.00
loop_
_atom_site_label
_atom_site_type_symbol
_atom_site_fract_x
_atom_site_fract_y
_atom_site_fract_z
Sn1 Sn 0.000 0.000 0.000
Te1 Te 0.500 0.500 0.500
Pd1 Pd 0.000 0.500 0.500
# * volume: 24.7 Å³/atom
# * offset from the most stable computed form: 12.59 kcal/mol of atoms
# * density of states at the Fermi level: 0.58 states/eV/f.u.
# * formation energy from raw total energies: 0.141 eV/atom

---

8.
# SnTe2Pd | the Alexandria database | GGA-PBE | optimized geometry
data_SnTe2Pd
_chemical_formula_sum 'Sn3 Te6 Pd3'
_symmetry_space_group_name_H-M 'R 3 m'
_symmetry_Int_Tables_number 160
_symmetry_space_group_name_Hall 'R 3 -2"'
_cell_length_a 4.0994
_cell_length_b 4.0994
_cell_length_c 21.8612
_cell_angle_alpha 90.00
_cell_angle_beta 90.00
_cell_angle_gamma 120.00
loop_
_atom_site_label
_atom_site_type_symbol
_atom_site_fract_x
_atom_site_fract_y
_atom_site_fract_z
Sn1 Sn 0.0000 0.0000 0.0000
Te1 Te 0.0000 0.0000 0.2364
Te2 Te 0.0000 0.0000 0.4348
Pd1 Pd 0.0000 0.0000 0.8345
# * volume: 26.5 Å³/atom
# * density of states at the Fermi level: 2.99 states/eV/f.u.
# * formation energy from raw total energies: -0.217 eV/atom

---

9.
# Sn2Te5Pd12 | the Alexandria database | GGA-PBE | optimized geometry
data_Sn2Te5Pd12
_chemical_formula_sum 'Sn4 Te10 Pd24'
_symmetry_space_group_name_H-M 'C 1 2/m 1'
_symmetry_Int_Tables_number 12
_cell_length_a 13.713
_cell_length_b 7.394
_cell_length_c 8.232
_cell_angle_alpha 90.00
_cell_angle_beta 109.84
_cell_angle_gamma 90.00
loop_
_symmetry_equiv_pos_as_xyz
'x,y,z'
'-x,-y,-z'
'-x,y,-z'
'x,-y,z'
'x+1/2,y+1/2,z'
'-x+1/2,-y+1/2,-z'
'-x+1/2,y+1/2,-z'
'x+1/2,-y+1/2,z'
loop_
_atom_site_label
_atom_site_type_symbol
_atom_site_fract_x
_atom_site_fract_y
_atom_site_fract_z
Sn1 Sn 0.000 0.207 0.000
Te1 Te 0.000 0.000 0.500
Te2 Te 0.173 0.500 0.835
Te3 Te 0.243 0.500 0.413
Pd1 Pd 0.032 0.500 0.201
Pd2 Pd 0.107 0.000 0.269
Pd3 Pd 0.112 0.302 0.526
Pd4 Pd 0.206 0.296 0.131
# * volume: 20.7 Å³/atom
# * density of states at the Fermi level: 9.80 states/eV/f.u.
# * formation energy from raw total energies: -0.257 eV/atom

---

10.
# Sn2Te2Pd5 | the Alexandria database | GGA-PBE | optimized geometry
data_Sn2Te2Pd5
_chemical_formula_sum 'Sn4 Te4 Pd10'
_symmetry_space_group_name_H-M 'C 1 2/m 1'
_symmetry_Int_Tables_number 12
_cell_length_a 13.287
_cell_length_b 4.039
_cell_length_c 8.776
_cell_angle_alpha 90.00
_cell_angle_beta 123.98
_cell_angle_gamma 90.00
loop_
_symmetry_equiv_pos_as_xyz
'x,y,z'
'-x,-y,-z'
'-x,y,-z'
'x,-y,z'
'x+1/2,y+1/2,z'
'-x+1/2,-y+1/2,-z'
'-x+1/2,y+1/2,-z'
'x+1/2,-y+1/2,z'
loop_
_atom_site_label
_atom_site_type_symbol
_atom_site_fract_x
_atom_site_fract_y
_atom_site_fract_z
Sn1 Sn 0.154 0.000 0.025
Te1 Te 0.143 0.500 0.519
Pd1 Pd 0.000 0.500 0.000
Pd2 Pd 0.093 0.000 0.285
Pd3 Pd 0.095 0.500 0.780
# * volume: 21.7 Å³/atom
# * density of states at the Fermi level: 3.96 states/eV/f.u.
# * formation energy from raw total energies: -0.376 eV/atom